# TlCuRe2Rh

Crystalline TlCuRe2Rh at its relaxed geometry (GGA-PBE, Alexandria via LeMat-Bulk).

The structure in POSCAR format:
```
TlCuRe2Rh
1.0
5.075 0.000 0.000
0.000 4.950 0.000
0.000 0.000 5.075
Rh Re Tl Cu
1 2 1 1
Cartesian
0.000 2.475 0.000
0.000 0.000 2.538
2.538 0.000 0.000
0.000 0.000 0.000
2.538 2.475 2.538
```

Computed properties:
The total energy is -4.76 eV/atom. The calculation puts the formation energy at 2.9805 eV per atom.

# CuReRhW2

Crystalline CuReRhW2 at its relaxed geometry (GGA-PBE, Alexandria via LeMat-Bulk).

The structure in POSCAR format:
```
CuReRhW2
1.0
4.685 0.000 0.000
0.000 4.558 0.000
0.000 0.000 4.685
W Rh Re Cu
2 1 1 1
Cartesian
0.000 0.000 2.342
2.342 0.000 0.000
2.342 2.279 2.342
0.000 0.000 0.000
0.000 2.279 0.000
```

Computed properties:
The total energy is -8.00 eV/atom. The calculation puts the formation energy at 1.9587 eV per atom.

# CuReRu

Crystalline CuReRu at its relaxed geometry (GGA-PBE, Alexandria via LeMat-Bulk).

The structure in POSCAR format:
```
CuReRu
1.0
-5.746 -3.986 0.940
-3.836 -5.662 0.171
-0.475 0.042 2.612
Ru Cu Re
1 1 1
Cartesian
-6.567 -6.440 1.608
-9.581 -9.647 1.111
-3.492 -3.168 2.115
```

Computed properties:
The total energy is -8.23 eV/atom. The calculation puts the formation energy at 0.3734 eV per atom.

# CuReRu3

Crystalline CuReRu3 at its relaxed geometry (GGA-PBE, Alexandria via LeMat-Bulk).

The structure in POSCAR format:
```
CuReRu3
1.0
4.664 0.000 0.000
0.000 4.664 0.000
0.000 0.000 4.664
Ru Re Cu
3 1 1
Cartesian
0.000 2.332 0.000
2.332 0.000 0.000
0.000 0.000 2.332
0.000 0.000 0.000
2.332 2.332 2.332
```

Computed properties:
The total energy is -7.10 eV/atom. The calculation puts the formation energy at 1.7701 eV per atom.

# CuRe2Ru

Crystalline CuRe2Ru at its relaxed geometry (GGA-PBE, Alexandria via LeMat-Bulk).

The structure in POSCAR format:
```
CuRe2Ru
1.0
-0.776 -1.477 -2.142
-0.841 -1.973 1.665
-6.903 3.194 0.300
Re Ru Cu
2 1 1
Cartesian
-6.879 3.183 0.299
-3.475 1.608 0.151
-2.534 -0.927 -0.163
-5.986 0.670 -0.014
```

Computed properties:
The total energy is -9.36 eV/atom. The calculation puts the formation energy at 0.2063 eV per atom.

# CuRe2Ru

Crystalline CuRe2Ru at its relaxed geometry (GGA-PBE, Alexandria via LeMat-Bulk).

The structure in POSCAR format:
```
CuRe2Ru
1.0
7.003 0.000 0.000
0.000 7.003 0.000
3.502 3.502 2.568
Cu Ru Re
2 2 4
Cartesian
3.502 7.003 1.284
3.502 3.502 0.000
0.000 0.000 0.000
7.003 3.502 1.284
1.599 5.252 0.642
5.404 1.751 0.642
5.252 5.101 1.926
8.754 8.906 1.926
```

Computed properties:
The total energy is -8.63 eV/atom. The calculation puts the formation energy at 0.9363 eV per atom.

# CuRe2Ru

Crystalline CuRe2Ru at its relaxed geometry (GGA-PBE, Alexandria via LeMat-Bulk).

The structure in POSCAR format:
```
CuRe2Ru
1.0
-0.042 -2.630 0.440
1.853 0.837 -1.727
5.853 1.043 6.785
Cu Re Ru
1 2 1
Cartesian
5.290 -0.116 4.440
5.844 1.041 6.775
2.378 -0.634 1.064
2.931 0.522 3.398
```

Computed properties:
The total energy is -9.20 eV/atom. The calculation puts the formation energy at 0.3667 eV per atom.

# CuRe2Ru

Crystalline CuRe2Ru at its relaxed geometry (GGA-PBE, Alexandria via LeMat-Bulk).

The structure in POSCAR format:
```
CuRe2Ru
1.0
3.911 0.000 0.000
0.000 2.711 0.007
0.000 2.656 5.298
Ru Re Cu
1 2 1
Cartesian
1.956 1.342 1.326
0.000 2.698 2.693
0.000 2.641 5.257
1.956 4.025 3.979
```

Computed properties:
The total energy is -9.38 eV/atom. The calculation puts the formation energy at 0.1834 eV per atom.

# CuRe2Ru

Crystalline CuRe2Ru at its relaxed geometry (GGA-PBE, Alexandria via LeMat-Bulk).

The structure in POSCAR format:
```
CuRe2Ru
1.0
-4.470 -0.153 1.312
-1.128 -4.448 0.822
3.555 2.591 1.543
Cu Re Ru
1 2 1
Cartesian
-1.857 0.069 1.960
-0.186 -2.078 1.716
0.000 0.000 0.000
-2.799 -2.300 1.067
```

Computed properties:
The total energy is -9.33 eV/atom. The calculation puts the formation energy at 0.2348 eV per atom.

# CuReRu

Crystalline CuReRu at its relaxed geometry (GGA-PBE, Alexandria via LeMat-Bulk).

The structure in POSCAR format:
```
CuReRu
1.0
-5.533 -0.597 0.805
-3.489 -2.745 3.451
4.525 3.219 -0.883
Ru Cu Re
1 1 1
Cartesian
-6.045 -2.239 2.852
-0.001 0.000 0.001
-2.976 -1.102 1.404
```

Computed properties:
The total energy is -8.41 eV/atom. The calculation puts the formation energy at 0.2016 eV per atom.

# CuRe2Ru

Crystalline CuRe2Ru at its relaxed geometry (GGA-PBE, Alexandria via LeMat-Bulk).

The structure in POSCAR format:
```
CuRe2Ru
1.0
-1.118 0.190 -2.459
1.380 -3.525 -0.899
-4.484 -2.231 1.867
Ru Cu Re
1 1 2
Cartesian
-2.281 -1.135 0.950
-3.226 -3.338 -0.281
-4.439 -2.209 1.848
-1.002 -2.231 -1.207
```

Computed properties:
The total energy is -9.38 eV/atom. The calculation puts the formation energy at 0.1847 eV per atom.

# CuRe2Ru

Crystalline CuRe2Ru at its relaxed geometry (GGA-PBE, Alexandria via LeMat-Bulk).

The structure in POSCAR format:
```
CuRe2Ru
1.0
-1.005 0.085 -3.785
-3.267 -1.727 0.829
-1.650 3.369 0.514
Ru Re Cu
1 2 1
Cartesian
-2.136 -0.821 -1.478
0.000 0.000 0.000
-2.459 0.821 0.671
-1.328 1.727 -1.636
```

Computed properties:
The total energy is -9.27 eV/atom. The calculation puts the formation energy at 0.2938 eV per atom.